Entry 1:
An optimized crystal structure of NaH2Pd. Source: the Open Quantum Materials Database, functional PBE.

## Properties
**VASP energy**: -3.56 eV per atom

The structure in POSCAR format:
```
NaH2Pd
1.0
-1.252 0.743 4.845
3.153 -1.187 0.996
3.547 9.024 -0.467
H Na Pd
8 4 4
Cartesian
2.406 -0.323 1.292 H
1.249 2.128 1.680 H
0.677 2.635 4.096 H
3.176 3.600 3.531 H
2.272 4.980 1.843 H
4.771 5.944 1.278 H
4.198 6.451 3.694 H
3.042 8.902 4.082 H
2.132 0.791 3.487 Na
3.547 2.428 0.961 Na
1.901 6.151 4.414 Na
3.316 7.788 1.887 Na
1.098 0.780 0.553 Pd
1.442 3.619 2.848 Pd
4.006 4.960 2.526 Pd
4.350 7.799 4.821 Pd
```

---

Entry 2:
An optimized crystal structure of NaHPd3. Source: the Open Quantum Materials Database, functional PBE.

## Properties
**VASP energy**: -4.19 eV per atom

The structure in POSCAR format:
```
NaHPd3
1.0
-1.507 -3.678 3.069
2.623 -0.243 0.997
-0.424 4.493 2.210
H Na Pd
1 1 3
Cartesian
0.726 -0.317 1.991 H
1.045 2.052 1.728 Na
-0.060 -0.104 0.133 Pd
-1.023 0.305 2.766 Pd
0.065 2.349 4.380 Pd
```

---

Entry 3:
An optimized crystal structure of NaSr2H6Pd. Source: the Open Quantum Materials Database, functional PBE.

## Properties
**VASP energy**: -3.16 eV per atom

The structure in POSCAR format:
```
NaSr2H6Pd
1.0
-1.747 4.199 -2.457
-2.946 -2.329 3.552
4.245 6.208 7.592
H Na Pd Sr
12 2 2 4
Cartesian
-0.658 0.683 1.615 H
-2.244 -0.593 3.545 H
-3.208 1.685 2.221 H
0.452 2.281 3.598 H
-2.093 3.308 4.181 H
-1.160 1.028 5.523 H
0.711 7.050 3.164 H
1.645 4.770 4.507 H
-0.900 5.798 5.090 H
2.760 6.393 6.467 H
1.796 8.671 5.142 H
0.210 7.395 7.073 H
-1.485 1.399 3.447 Na
1.037 6.679 5.240 Na
1.061 1.552 1.898 Pd
3.184 4.656 5.694 Pd
-1.810 2.515 0.148 Sr
-0.361 4.635 2.740 Sr
-0.087 3.443 5.947 Sr
1.362 5.563 8.539 Sr
```

---

Entry 4:
An optimized crystal structure of Na2TcH6Pd. Source: the Open Quantum Materials Database, functional PBE.

## Properties
**VASP energy**: -3.82 eV per atom

The structure in POSCAR format:
```
Na2TcH6Pd
1.0
5.037 0.680 0.619
1.726 3.851 2.899
2.178 -0.982 4.529
H Na Pd Tc
6 2 1 1
Cartesian
4.753 1.230 2.329 H
3.104 2.808 3.464 H
5.612 3.147 3.772 H
3.329 0.402 4.275 H
5.837 0.741 4.583 H
4.189 2.320 5.718 H
2.235 0.887 2.012 Na
6.706 2.662 6.035 Na
4.471 1.775 4.024 Pd
0.000 0.000 0.000 Tc
```